The following is a DFT calculation (meta-GGA SCAN) of a PBEsol-optimized structure of SrTlCl.

Cell: 5.112 5.112 5.112 Å, 60.00 60.00 60.00°
Fractional coordinates of all 3 atoms:
Cl (0.250, 0.250, 0.250)
Tl (0.500, 0.500, 0.500)
Sr (0.000, 0.000, 0.000)

Output
**Energy above the most stable polymorph in this dataset**: 0 meV per atom